# 1
# CdRe2Mo

A relaxed structure of CdRe2Mo (PBEsol, Alexandria).

Values from the calculation:
Space-group type: P4mm, No. 99
Spin magnetization, μB per atom: 0.000
VASP energy, eV per atom: -9.600
Crystal system: tetragonal
N(E_F), states/eV per cell: 3.014
Energy of formation, eV per atom: 0.307

abc: 2.8002 2.8002 8.1181
angles: 90.00 90.00 90.00
Last column: nearest neighbours and their distance in Å.
Element x y z (fractional)
1 Cd 0.0000 0.0000 0.0000  4 Cd 2.80, 4 Re 2.96, 4 Mo 2.98
2 Re 0.0000 0.0000 0.5135  8 Re 2.64-2.80, 4 Mo 2.77
3 Re 0.5000 0.5000 0.7295  8 Re 2.64-2.80, 4 Cd 2.96
4 Mo 0.5000 0.5000 0.2744  4 Re 2.77, 4 Mo 2.80, 4 Cd 2.98


# 2
# CdRe2Mo

A relaxed structure of CdRe2Mo (PBEsol, Alexandria).

Values from the calculation:
Space-group type: Cm, No. 8
Spin magnetization, μB per atom: 0.000
VASP energy, eV per atom: -9.446
Crystal system: monoclinic
N(E_F), states/eV per cell: 5.346
Energy of formation, eV per atom: 0.461

abc: 9.4795 2.8553 4.7759
angles: 90.00 102.46 90.00
Last column: nearest neighbours and their distance in Å.
Element x y z (fractional)
1 Cd 0.0000 0.0000 0.0000  7 Re 2.78-2.92, 3 Mo 2.83-2.93, 2 Cd 2.86
2 Cd 0.5000 0.5000 0.0000  7 Re 2.78-2.92, 3 Mo 2.83-2.93, 2 Cd 2.86
3 Re 0.0072 0.5000 0.5046  5 Re 2.64-2.94, 3 Mo 2.74-2.88, 4 Cd 2.78-2.79
4 Re 0.2391 0.0000 0.7215  2 Mo 2.62, 4 Re 2.64-2.86, 3 Cd 2.86-2.92
5 Re 0.5072 0.0000 0.5046  5 Re 2.64-2.94, 3 Mo 2.74-2.88, 4 Cd 2.78-2.79
6 Re 0.7391 0.5000 0.7215  2 Mo 2.62, 4 Re 2.64-2.86, 3 Cd 2.86-2.92
7 Mo 0.2636 0.5000 0.2741  5 Re 2.62-2.88, 3 Cd 2.83-2.93, 2 Mo 2.86
8 Mo 0.7636 0.0000 0.2741  5 Re 2.62-2.88, 3 Cd 2.83-2.93, 2 Mo 2.86


# 3
# CdReMo2

A relaxed structure of CdReMo2 (PBEsol, Alexandria).

Values from the calculation:
Space-group type: P4/mmm, No. 123
Spin magnetization, μB per atom: 0.000
VASP energy, eV per atom: -9.031
Crystal system: tetragonal
N(E_F), states/eV per cell: 2.724
Energy of formation, eV per atom: 0.485

abc: 3.9762 3.9762 3.9654
angles: 90.00 90.00 90.00
Last column: nearest neighbours and their distance in Å.
Element x y z (fractional)
1 Cd 0.0000 0.0000 0.0000  8 Mo 2.81, 4 Re 2.81
2 Re 0.5000 0.5000 0.0000  8 Mo 2.81, 4 Cd 2.81
3 Mo 0.0000 0.5000 0.5000  4 Re 2.81, 4 Cd 2.81, 4 Mo 2.81
4 Mo 0.5000 0.0000 0.5000  4 Re 2.81, 4 Cd 2.81, 4 Mo 2.81


Copy entry 3 word for word.
# CdReMo2

A relaxed structure of CdReMo2 (PBEsol, Alexandria).

Values from the calculation:
Space-group type: P4/mmm, No. 123
Spin magnetization, μB per atom: 0.000
VASP energy, eV per atom: -9.031
Crystal system: tetragonal
N(E_F), states/eV per cell: 2.724
Energy of formation, eV per atom: 0.485

abc: 3.9762 3.9762 3.9654
angles: 90.00 90.00 90.00
Last column: nearest neighbours and their distance in Å.
Element x y z (fractional)
1 Cd 0.0000 0.0000 0.0000  8 Mo 2.81, 4 Re 2.81
2 Re 0.5000 0.5000 0.0000  8 Mo 2.81, 4 Cd 2.81
3 Mo 0.0000 0.5000 0.5000  4 Re 2.81, 4 Cd 2.81, 4 Mo 2.81
4 Mo 0.5000 0.0000 0.5000  4 Re 2.81, 4 Cd 2.81, 4 Mo 2.81